A plane-wave DFT calculation with PBE was carried out for a relaxed TaTlTc2 crystal.

Structure (POSCAR):
```
TaTlTc2
1.0
4.510 0.000 0.000
0.000 4.510 0.000
0.000 0.000 3.344
Ta Tl Tc
1 1 2
Direct
0.000 0.000 0.000
0.500 0.500 0.000
0.000 0.500 0.500
0.500 0.000 0.500
```

- Formation enthalpy at 0 K: 0.279 eV per atom
- Fermi-level density of states: 4.21 states/eV/cell
- Energy: -33.8 eV per cell
- SG: No. 123
- Magnetic moment: 0.61 μB per formula unit

=====

A plane-wave DFT calculation with PBE was carried out for a relaxed TaTl2Tc crystal.

Structure (POSCAR):
```
TaTl2Tc
1.0
3.059 0.000 0.000
0.000 4.348 0.000
0.000 0.000 5.966
Ta Tl Tc
1 2 1
Direct
0.000 0.000 0.000
0.500 0.500 0.256
0.500 0.500 0.744
0.000 0.000 0.500
```

- Formation enthalpy at 0 K: 0.836 eV per atom
- Fermi-level density of states: 2.94 states/eV/cell
- Energy: -23.6 eV per cell
- SG: No. 47
- Magnetic moment: 1.55 μB per formula unit

=====

A plane-wave DFT calculation with PBE was carried out for a relaxed TaTl2Tc crystal.

Structure (POSCAR):
```
TaTl2Tc
1.0
1.555 0.898 9.401
-1.555 0.898 9.401
0.000 -1.795 9.401
Ta Tl Tc
1 2 1
Direct
0.000 0.000 0.000
0.246 0.246 0.246
0.754 0.754 0.754
0.500 0.500 0.500
```

- Formation enthalpy at 0 K: 0.727 eV per atom
- Fermi-level density of states: 2.94 states/eV/cell
- Energy: -24.0 eV per cell
- SG: No. 166
- Magnetic moment: 0.00 μB per formula unit

=====

A plane-wave DFT calculation with PBE was carried out for a relaxed TaTlTc crystal.

Structure (POSCAR):
```
TaTlTc
1.0
3.185 0.000 0.000
-1.593 2.759 0.000
0.000 0.000 6.768
Ta Tl Tc
1 1 1
Direct
0.000 0.000 0.000
0.333 0.667 0.620
0.667 0.333 0.260
```

- Formation enthalpy at 0 K: 0.348 eV per atom
- Fermi-level density of states: 2.17 states/eV/cell
- Energy: -23.5 eV per cell
- SG: No. 156
- Magnetic moment: 0.00 μB per formula unit

=====

A plane-wave DFT calculation with PBE was carried out for a relaxed TaTlTc3 crystal.

Structure (POSCAR):
```
TaTlTc3
1.0
4.800 0.000 0.000
0.000 4.800 0.000
0.000 0.000 4.800
Ta Tl Tc
1 1 3
Direct
0.000 0.000 0.000
0.500 0.500 0.500
0.000 0.000 0.500
0.000 0.500 0.000
0.500 0.000 0.000
```

- Formation enthalpy at 0 K: 1.612 eV per atom
- Fermi-level density of states: 4.73 states/eV/cell
- Energy: -37.3 eV per cell
- SG: No. 221
- Magnetic moment: 3.09 μB per formula unit

=====

A plane-wave DFT calculation with PBE was carried out for a relaxed TaTlTc2 crystal.

Structure (POSCAR):
```
TaTlTc2
1.0
3.443 0.000 0.000
0.000 3.443 0.000
0.000 0.000 6.054
Ta Tl Tc
1 1 2
Direct
0.000 0.000 0.000
0.500 0.500 0.697
0.000 0.000 0.407
0.500 0.500 0.211
```

- Formation enthalpy at 0 K: 0.438 eV per atom
- Fermi-level density of states: 4.77 states/eV/cell
- Energy: -33.2 eV per cell
- SG: No. 99
- Magnetic moment: 0.01 μB per formula unit

=====

A plane-wave DFT calculation with PBE was carried out for a relaxed TaTlTc crystal.

Structure (POSCAR):
```
TaTlTc
1.0
4.596 0.000 0.000
-2.298 3.980 0.000
0.000 0.000 3.014
Ta Tl Tc
1 1 1
Direct
0.000 0.000 0.000
0.333 0.667 0.581
0.667 0.333 0.219
```

- Formation enthalpy at 0 K: 0.490 eV per atom
- Fermi-level density of states: 2.76 states/eV/cell
- Energy: -23.1 eV per cell
- SG: No. 156
- Magnetic moment: 0.00 μB per formula unit

=====

A plane-wave DFT calculation with PBE was carried out for a relaxed TaTlTc2 crystal.

Structure (POSCAR):
```
TaTlTc2
1.0
0.000 3.244 3.244
3.244 0.000 3.244
3.244 3.244 0.000
Ta Tl Tc
1 1 2
Direct
0.000 0.000 0.000
0.500 0.500 0.500
0.250 0.250 0.250
0.750 0.750 0.750
```

- Formation enthalpy at 0 K: 0.270 eV per atom
- Fermi-level density of states: 5.15 states/eV/cell
- Energy: -33.9 eV per cell
- SG: No. 225
- Magnetic moment: 0.00 μB per formula unit

=====

A plane-wave DFT calculation with PBE was carried out for a relaxed TaTlTc2 crystal.

Structure (POSCAR):
```
TaTlTc2
1.0
1.458 0.842 9.521
-1.458 0.842 9.521
0.000 -1.684 9.521
Ta Tl Tc
1 1 2
Direct
0.000 0.000 0.000
0.241 0.241 0.241
0.488 0.488 0.488
0.750 0.750 0.750
```

- Formation enthalpy at 0 K: 0.430 eV per atom
- Fermi-level density of states: 2.82 states/eV/cell
- Energy: -33.2 eV per cell
- SG: No. 160
- Magnetic moment: 0.00 μB per formula unit

=====

A plane-wave DFT calculation with PBE was carried out for a relaxed TaTlTc2 crystal.

Structure (POSCAR):
```
TaTlTc2
1.0
-2.042 2.042 9.417
2.042 -2.042 9.417
2.042 2.042 -9.417
Ta Tl Tc
2 2 4
Direct
0.000 0.000 0.000
0.750 0.250 0.500
0.250 0.750 0.500
0.500 0.500 0.000
0.049 0.625 0.924
0.375 0.299 0.424
0.701 0.125 0.076
0.875 0.951 0.576
```

- Formation enthalpy at 0 K: 0.927 eV per atom
- Fermi-level density of states: 6.58 states/eV/cell
- Energy: -62.5 eV per cell
- SG: No. 122
- Magnetic moment: 0.00 μB per formula unit

=====

A plane-wave DFT calculation with PBE was carried out for a relaxed TaTlTc2 crystal.

Structure (POSCAR):
```
TaTlTc2
1.0
1.547 0.893 8.688
-1.547 0.893 8.688
0.000 -1.787 8.688
Ta Tl Tc
1 1 2
Direct
0.000 0.000 0.000
0.500 0.500 0.500
0.257 0.257 0.257
0.743 0.743 0.743
```

- Formation enthalpy at 0 K: 0.343 eV per atom
- Fermi-level density of states: 3.24 states/eV/cell
- Energy: -33.6 eV per cell
- SG: No. 166
- Magnetic moment: 0.00 μB per formula unit

=====

A plane-wave DFT calculation with PBE was carried out for a relaxed TaTl2Tc crystal.

Structure (POSCAR):
```
TaTl2Tc
1.0
-3.865 3.865 2.895
3.865 -3.865 2.895
3.865 3.865 -2.895
Ta Tl Tc
2 4 2
Direct
0.000 0.000 0.000
0.750 0.250 0.500
0.135 0.625 0.010
0.375 0.385 0.510
0.615 0.125 0.990
0.875 0.865 0.490
0.250 0.750 0.500
0.500 0.500 0.000
```

- Formation enthalpy at 0 K: 1.093 eV per atom
- Fermi-level density of states: 5.92 states/eV/cell
- Energy: -45.2 eV per cell
- SG: No. 122
- Magnetic moment: 1.65 μB per formula unit

=====

A plane-wave DFT calculation with PBE was carried out for a relaxed TaTl2Tc crystal.

Structure (POSCAR):
```
TaTl2Tc
1.0
4.894 -1.664 0.000
4.894 1.664 0.000
-1.021 0.000 4.841
Ta Tl Tc
1 2 1
Direct
0.000 0.000 0.000
0.244 0.244 0.743
0.756 0.756 0.257
0.500 0.500 0.500
```

- Formation enthalpy at 0 K: 0.683 eV per atom
- Fermi-level density of states: 2.84 states/eV/cell
- Energy: -24.2 eV per cell
- SG: No. 12
- Magnetic moment: 0.00 μB per formula unit

=====

A plane-wave DFT calculation with PBE was carried out for a relaxed TaTl2Tc crystal.

Structure (POSCAR):
```
TaTl2Tc
1.0
1.632 0.942 9.634
-1.632 0.942 9.634
0.000 -1.885 9.634
Ta Tl Tc
1 2 1
Direct
0.000 0.000 0.000
0.523 0.523 0.523
0.757 0.757 0.757
0.275 0.275 0.275
```

- Formation enthalpy at 0 K: 0.305 eV per atom
- Fermi-level density of states: 2.65 states/eV/cell
- Energy: -25.7 eV per cell
- SG: No. 160
- Magnetic moment: 0.00 μB per formula unit

=====

A plane-wave DFT calculation with PBE was carried out for a relaxed TaTlTc3 crystal.

Structure (POSCAR):
```
TaTlTc3
1.0
4.809 0.000 0.000
0.000 4.809 0.000
0.000 0.000 4.809
Ta Tl Tc
1 1 3
Direct
0.000 0.000 0.000
0.500 0.500 0.500
0.000 0.500 0.500
0.500 0.000 0.500
0.500 0.500 0.000
```

- Formation enthalpy at 0 K: 2.638 eV per atom
- Fermi-level density of states: 8.06 states/eV/cell
- Energy: -32.1 eV per cell
- SG: No. 221
- Magnetic moment: 0.76 μB per formula unit